1.
The following is a DFT calculation (PBE) of an optimized crystal structure of Tb2Er6Ru.

Structure (POSCAR):
```
Tb2Er6Ru
1.0
4.532 -8.517 0.000
4.532 8.517 0.000
0.000 0.000 3.438
Tb Er Ru
2 6 1
direct
0.173 0.827 0.000
0.827 0.173 0.000
0.169 0.495 0.500
0.251 0.251 0.000
0.495 0.169 0.500
0.505 0.831 0.500
0.749 0.749 0.000
0.831 0.505 0.500
0.500 0.500 0.500
```

Computed properties:
E_form: 0.103 eV per atom
magnetization: 0.000 μB per atom
crystal system: orthorhombic



2.
The following is a DFT calculation (PBE) of an optimized crystal structure of Y2TlPb.

Structure (POSCAR):
```
Y2TlPb
1.0
1.898 1.096 9.537
-1.898 1.096 9.537
0.000 -2.191 9.537
Y Tl Pb
2 1 1
direct
0.248 0.248 0.248
0.752 0.752 0.752
0.500 0.500 0.500
0.000 0.000 0.000
```

Computed properties:
E_form: -0.328 eV per atom
magnetization: 0.000 μB per atom
crystal system: trigonal



3.
The following is a DFT calculation (PBE) of an optimized crystal structure of Ca13Tl2.

Structure (POSCAR):
```
Ca13Tl2
1.0
6.919 0.000 0.000
1.418 8.970 0.000
1.975 3.404 9.286
Ca Tl
13 2
direct
0.000 0.000 0.000
0.036 0.423 0.699
0.216 0.171 0.238
0.257 0.596 0.942
0.262 0.998 0.636
0.448 0.383 0.410
0.478 0.798 0.159
0.522 0.202 0.841
0.552 0.617 0.590
0.738 0.002 0.364
0.743 0.404 0.058
0.784 0.829 0.762
0.964 0.577 0.301
0.146 0.775 0.457
0.854 0.225 0.543
```

Computed properties:
E_form: -0.104 eV per atom
magnetization: 0.000 μB per atom
crystal system: triclinic



4.
The following is a DFT calculation (PBE) of an optimized crystal structure of Nb2CdO6.

Structure (POSCAR):
```
Nb2CdO6
1.0
15.038 0.000 0.000
0.000 6.018 0.000
0.000 0.000 5.202
Nb Cd O
8 4 24
direct
0.165 0.181 0.236
0.165 0.819 0.736
0.335 0.319 0.736
0.335 0.681 0.236
0.665 0.319 0.764
0.665 0.681 0.264
0.835 0.181 0.264
0.835 0.819 0.764
0.000 0.307 0.750
0.000 0.693 0.250
0.500 0.193 0.250
0.500 0.807 0.750
0.086 0.381 0.106
0.086 0.619 0.606
0.104 0.090 0.549
0.104 0.910 0.049
0.245 0.134 0.910
0.245 0.866 0.410
0.255 0.366 0.410
0.255 0.634 0.910
0.396 0.410 0.049
0.396 0.590 0.549
0.414 0.119 0.606
0.414 0.881 0.106
0.586 0.119 0.894
0.586 0.881 0.394
0.604 0.410 0.451
0.604 0.590 0.951
0.745 0.366 0.090
0.745 0.634 0.590
0.755 0.134 0.590
0.755 0.866 0.090
0.896 0.090 0.951
0.896 0.910 0.451
0.914 0.381 0.394
0.914 0.619 0.894
```

Computed properties:
energy relative to the elements, uncorrected: -2264 meV/atom
magnetization: 0.000 μB per atom
crystal system: orthorhombic



5.
The following is a DFT calculation (PBE) of an optimized crystal structure of MnMo2Ir.

Structure (POSCAR):
```
MnMo2Ir
1.0
-1.839 1.839 9.510
1.839 -1.839 9.510
1.839 1.839 -9.510
Mn Mo Ir
2 4 2
direct
0.000 0.000 0.000
0.750 0.250 0.500
0.113 0.625 0.988
0.375 0.363 0.488
0.637 0.125 0.012
0.875 0.887 0.512
0.250 0.750 0.500
0.500 0.500 0.000
```

Computed properties:
E_form: 0.520 eV per atom
magnetization: 0.904 μB per atom
relative energy among the computed polymorphs: 592 meV per atom
crystal system: tetragonal



6.
The following is a DFT calculation (PBE) of an optimized crystal structure of ZrMn2Tc2.

Structure (POSCAR):
```
ZrMn2Tc2
1.0
-1.993 1.993 5.033
1.993 -1.993 5.033
1.993 1.993 -5.033
Zr Mn Tc
1 2 2
direct
0.000 0.000 0.000
0.250 0.750 0.500
0.750 0.250 0.500
0.376 0.376 0.000
0.624 0.624 0.000
```

Computed properties:
E_form: 0.133 eV per atom
magnetization: 0.000 μB per atom
relative energy among the computed polymorphs: 142 meV per atom
crystal system: tetragonal



7.
The following is a DFT calculation (PBE) of an optimized crystal structure of BaZrAg2.

Structure (POSCAR):
```
BaZrAg2
1.0
3.901 -3.906 0.000
3.901 3.906 0.000
0.000 0.000 3.365
Ba Zr Ag
1 1 2
direct
0.000 0.000 0.000
0.500 0.500 0.000
0.000 0.500 0.500
0.500 0.000 0.500
```

Computed properties:
E_form: 0.179 eV per atom
magnetization: 0.000 μB per atom
relative energy among the computed polymorphs: 169 meV per atom
crystal system: orthorhombic



8.
The following is a DFT calculation (PBE) of an optimized crystal structure of Zn2Ga2Te5.

Structure (POSCAR):
```
Zn2Ga2Te5
1.0
4.247 0.000 0.000
0.397 7.018 0.000
1.533 3.133 10.282
Zn Ga Te
2 2 5
direct
0.173 0.165 0.189
0.827 0.835 0.811
0.440 0.286 0.768
0.560 0.714 0.232
0.010 0.801 0.359
0.367 0.666 0.744
0.500 0.000 0.000
0.633 0.334 0.256
0.990 0.199 0.641
```

Computed properties:
energy relative to the elements, uncorrected: -220 meV/atom
magnetization: 0.000 μB per atom
crystal system: triclinic



9.
The following is a DFT calculation (PBE) of an optimized crystal structure of TaTc4Hg.

Structure (POSCAR):
```
TaTc4Hg
1.0
0.000 3.668 3.668
3.668 0.000 3.668
3.668 3.668 0.000
Ta Tc Hg
1 4 1
direct
0.000 0.000 0.000
0.127 0.624 0.624
0.624 0.127 0.624
0.624 0.624 0.127
0.624 0.624 0.624
0.250 0.250 0.250
```

Computed properties:
E_form: 0.231 eV per atom
magnetization: 0.000 μB per atom
crystal system: cubic



10.
The following is a DFT calculation (PBE) of an optimized crystal structure of HfNbOs2.

Structure (POSCAR):
```
HfNbOs2
1.0
4.560 0.000 0.000
0.000 3.180 0.000
0.000 0.000 9.227
Hf Nb Os
2 2 4
direct
0.250 0.000 0.125
0.750 0.000 0.875
0.250 0.000 0.618
0.750 0.000 0.382
0.250 0.500 0.368
0.250 0.500 0.872
0.750 0.500 0.128
0.750 0.500 0.632
```

Computed properties:
E_form: -0.397 eV per atom
magnetization: 0.000 μB per atom
crystal system: orthorhombic



The records above yield calculated total energy values of -45.0, -20.3, -32.3, -284.7, -75.2, -47.0, -15.5, -26.3, -52.2, -88.1 eV/cell, respectively.